# Sm2SiP, relaxed, DFT PBE
# Energy above the most stable polymorph in this dataset (meV per atom): 0
# E_form (uncorrected) (eV per atom): -1.175
# V (Å³/cell): 193.31
# Total DFT energy (no corrections) (eV per atom): -6.243
data_Sm2SiP
_cell_length_a 3.9764
_cell_length_b 4.2442
_cell_length_c 11.6491
_cell_angle_alpha 100.50
_cell_angle_beta 90.00
_cell_angle_gamma 90.00
_symmetry_space_group_name_H-M 'P 1'
_symmetry_Int_Tables_number 1
_symmetry_space_group_name_Hall 'P 1'
loop_
_atom_site_label
_atom_site_type_symbol
_atom_site_fract_x
_atom_site_fract_y
_atom_site_fract_z
_atom_site_occupancy
Sm1 Sm 0.7500 0.9328 0.8656 1
Sm2 Sm 0.2500 0.0672 0.1344 1
Sm3 Sm 0.7500 0.6882 0.3763 1
Sm4 Sm 0.2500 0.3118 0.6237 1
P1 P 0.7500 0.8118 0.6236 1
P2 P 0.2500 0.1882 0.3764 1
Si1 Si 0.2500 0.4656 0.9312 1
Si2 Si 0.7500 0.5344 0.0688 1